Here is crystalline Ga4PbAu2 at its relaxed geometry from Alexandria via LeMat-Bulk. Energies are from GGA-PBE.

Cell and atoms, written as POSCAR:
```
Ga4PbAu2
1.0
17.741 0.000 0.000
0.000 4.370 0.000
0.000 0.000 7.433
Ga Pb Au
16 4 8
Cartesian
0.661 1.093 0.958
1.121 3.278 3.903
3.287 1.093 4.837
3.299 1.093 1.804
5.571 3.278 5.520
5.583 3.278 1.121
7.749 1.093 0.187
8.209 3.278 4.674
9.532 1.093 2.759
9.992 3.278 7.246
12.158 1.093 6.312
12.170 1.093 1.913
14.442 3.278 5.629
14.454 3.278 2.596
16.620 1.093 3.530
17.080 3.278 6.475
2.565 3.278 7.081
6.306 1.093 3.365
11.435 3.278 4.068
15.176 1.093 0.352
0.615 1.093 5.537
3.763 3.278 3.296
5.108 1.093 7.013
8.256 3.278 1.820
9.486 1.093 5.613
12.633 3.278 0.420
13.978 1.093 4.137
17.126 3.278 1.896
```

Summary:
DFT formation energy (eV/atom): -0.132
Density of states at the Fermi level (states/eV/f.u.): 2.03